Entry 1:
{
  "formula": "La2ScSnB",
  "functional": "PBE",
  "state": "relaxed",
  "cell": [[5.8442, 0.0000, 0.0000], [0.0000, 4.2495, 0.0000], [0.0000, 0.0000, 5.8442]],
  "species": ["Sc", "B", "Sn", "La", "La"],
  "fractional_positions": [[0.0000, 0.0000, 0.0000], [0.0000, 0.5000, 0.0000], [0.5000, 0.5000, 0.5000], [0.0000, 0.0000, 0.5000], [0.5000, 0.0000, 0.0000]],
  "e_form_ev_per_atom": 0.676,
  "mass_density_g_cm3": 5.2
}

=====

Entry 2:
{
  "formula": "DyYTcHg",
  "functional": "PBE",
  "state": "relaxed",
  "cell": [[5.0427, 0.0000, 0.0000], [2.5213, 4.3671, 0.0000], [2.5213, 1.4557, 4.1173]],
  "species": ["Tc", "Y", "Hg", "Dy"],
  "fractional_positions": [[0.0000, 0.0000, 0.0000], [0.2500, 0.2500, 0.2500], [0.5000, 0.5000, 0.5000], [0.7500, 0.7500, 0.7500]],
  "e_form_ev_per_atom": -0.153,
  "mass_density_g_cm3": 10.1
}

=====

Entry 3:
{
  "formula": "NaTe5Pb4",
  "functional": "PBE",
  "state": "relaxed",
  "cell": [[-2.0002, 0.0535, 4.1033], [-0.5097, -6.4358, -0.1645], [11.6742, 2.2359, 3.1220]],
  "species": ["Na", "Te", "Te", "Te", "Te", "Te", "Pb", "Pb", "Pb", "Pb"],
  "fractional_positions": [[0.0000, 0.0000, 0.0000], [0.6011, 0.1011, 0.2022], [0.8006, 0.3006, 0.6011], [0.1994, 0.6994, 0.3989], [0.0000, 0.5000, 0.0000], [0.3989, 0.8989, 0.7978], [0.4019, 0.4019, 0.8038], [0.8045, 0.8045, 0.6091], [0.1955, 0.1955, 0.3909], [0.5981, 0.5981, 0.1962]],
  "e_form_raw_kcal_per_mol_atoms": -9.9,
  "mass_density_g_cm3": 7.2
}